Entry 1:
VASP calculation (PBE-GGA) on LiLa3Pr4Te8 after structural relaxation.

Results
The value obtained for the uncorrected formation energy is -1.47 eV/atom. The crystal system is trigonal.

abc: 9.0818 9.0818 9.0818
angles: 59.82 59.82 59.82
Closest atoms and distances in Å follow each position.
Fractional positions:
Li  0.0000  0.0000  0.0000  6 Te 3.12
La  0.0000  0.5000  0.5000  6 Te 3.21-3.22
La  0.5000  0.0000  0.5000  6 Te 3.21-3.22
La  0.5000  0.5000  0.0000  6 Te 3.21-3.22
Pr  0.0000  0.0000  0.5000  6 Te 3.20
Pr  0.0000  0.5000  0.0000  6 Te 3.20
Pr  0.5000  0.0000  0.0000  6 Te 3.20
Pr  0.5000  0.5000  0.5000  6 Te 3.29
Te  0.2417  0.7568  0.7568  1 Li 3.12, 3 Pr 3.20-3.29, 2 La 3.22
Te  0.2432  0.2432  0.7583  1 Li 3.12, 3 Pr 3.20-3.29, 2 La 3.22
Te  0.2432  0.7583  0.2432  1 Li 3.12, 3 Pr 3.20-3.29, 2 La 3.22
Te  0.2493  0.2493  0.2493  3 Pr 3.20, 3 La 3.21
Te  0.7507  0.7507  0.7507  3 Pr 3.20, 3 La 3.21
Te  0.7568  0.2417  0.7568  1 Li 3.12, 3 Pr 3.20-3.29, 2 La 3.22
Te  0.7568  0.7568  0.2417  1 Li 3.12, 3 Pr 3.20-3.29, 2 La 3.22
Te  0.7583  0.2432  0.2432  1 Li 3.12, 3 Pr 3.20-3.29, 2 La 3.22

---

Entry 2:
VASP calculation (PBE-GGA) on LiLaPrTh after structural relaxation.

Results
The crystal system is cubic. As for the formation energy from the elements: 0.25 eV/atom.

abc: 8.0053 8.0053 8.0053
angles: 90.00 90.00 90.00
Closest atoms and distances in Å follow each position.
Fractional positions:
Li  0.0000  0.0000  0.0000  4 La 3.47, 4 Pr 3.47
Li  0.0000  0.5000  0.5000  4 La 3.47, 4 Pr 3.47
Li  0.5000  0.0000  0.5000  4 La 3.47, 4 Pr 3.47
Li  0.5000  0.5000  0.0000  4 La 3.47, 4 Pr 3.47
La  0.2500  0.2500  0.7500  4 Th 3.47, 4 Li 3.47
La  0.2500  0.7500  0.2500  4 Th 3.47, 4 Li 3.47
La  0.7500  0.2500  0.2500  4 Th 3.47, 4 Li 3.47
La  0.7500  0.7500  0.7500  4 Li 3.47, 4 Th 3.47
Pr  0.2500  0.2500  0.2500  4 Th 3.47, 4 Li 3.47
Pr  0.2500  0.7500  0.7500  4 Th 3.47, 4 Li 3.47
Pr  0.7500  0.2500  0.7500  4 Th 3.47, 4 Li 3.47
Pr  0.7500  0.7500  0.2500  4 Th 3.47, 4 Li 3.47
Th  0.0000  0.0000  0.5000  4 Pr 3.47, 4 La 3.47
Th  0.0000  0.5000  0.0000  4 Pr 3.47, 4 La 3.47
Th  0.5000  0.0000  0.0000  4 Pr 3.47, 4 La 3.47
Th  0.5000  0.5000  0.5000  4 Pr 3.47, 4 La 3.47

---

Quick rundown of uncorrected energy, same order as above: -5.2800 -4.5078 eV/atom
Quick rundown of M_tot, same order as above: 0.00 0.00 μB/f.u.